The following is a PBE calculation of AlCd3Os after structural relaxation, from the Alexandria database.

```
AlCd3Os
1.0
-2.0856 -1.6008 4.2630
0.4115 -4.7359 -1.5771
4.5350 -0.3065 2.1036
Os Cd Al
1 3 1
direct
0.5000 0.5000 0.5000
0.5000 0.0000 0.0000
0.0000 0.5000 0.0000
0.0000 0.0000 0.5000
0.0000 0.0000 0.0000
```

## Properties
DOS(E_F)	1.64	states/eV/cell
DFT formation energy	1.4423	eV/atom
space group	Pm-3m, No. 221
excess energy over the best structure of this formula in the dataset	0.526	eV/atom